[1]
VASP calculation (PBEsol) on In2SbRu after structural relaxation.

Computed properties:
The calculation puts the formation energy (no corrections) at 34.57 kJ/mol of atoms. The theoretical density is 9.41 g/cm³. The total DFT energy (no corrections) is -4.8156 eV/atom. The calculation puts the volume at 79.8 Å³ per cell. Its spin magnetization is 0.0 μB/f.u.

a b c (Å): 3.355 5.064 5.064
angles (deg): 111.94 90.00 90.00
Sites, in units of the cell vectors:
Sb 0.500 0.500 0.500
In 0.000 0.000 0.500
Ru 0.500 0.000 0.000
In 0.000 0.500 0.000

***

[2]
VASP calculation (PBEsol) on InSbRu after structural relaxation.

Computed properties:
The calculation puts the formation energy (no corrections) at 2.21 kJ/mol of atoms. The theoretical density is 8.95 g/cm³. The total DFT energy (no corrections) is -5.8813 eV/atom. The calculation puts the volume at 62.6 Å³ per cell. Its spin magnetization is 0.0 μB/f.u.

a b c (Å): 4.457 4.457 4.457
angles (deg): 60.00 60.00 60.00
Sites, in units of the cell vectors:
In 0.500 0.500 0.500
Sb 0.000 0.000 0.000
Ru 0.750 0.750 0.750

***

[3]
VASP calculation (PBEsol) on In2SbRu after structural relaxation.

Computed properties:
The calculation puts the formation energy (no corrections) at 33.56 kJ/mol of atoms. The theoretical density is 9.41 g/cm³. The total DFT energy (no corrections) is -4.8260 eV/atom. The calculation puts the volume at 79.8 Å³ per cell. Its spin magnetization is 0.0 μB/f.u.

a b c (Å): 4.423 4.423 5.141
angles (deg): 115.48 115.48 90.00
Sites, in units of the cell vectors:
In 0.000 0.000 0.000
In 0.750 0.250 0.500
Sb 0.250 0.750 0.500
Ru 0.500 0.500 0.000

***

[4]
VASP calculation (PBEsol) on InSb2TeRu after structural relaxation.

Computed properties:
The calculation puts the formation energy (no corrections) at 157.12 kJ/mol of atoms. The theoretical density is 6.12 g/cm³. The total DFT energy (no corrections) is -3.5307 eV/atom. The calculation puts the volume at 159.4 Å³ per cell. Its spin magnetization is 2.1 μB/f.u.

a b c (Å): 5.404 5.404 5.458
angles (deg): 90.00 90.00 90.00
Last column: magnetic moment on the atom in μB.
Sites, in units of the cell vectors:
Te 0.000 0.000 0.500  -0.03
Sb 0.500 0.000 0.000  -0.08
In 0.000 0.000 0.000  -0.01
Ru 0.500 0.500 0.500  2.31
Sb 0.000 0.500 0.000  -0.08